! CsTiSN2 (PBE-GGA, optimized geometry); values from VASP
! ΔE_f (raw), eV/f.u.: 11.08
! Space-group type: No. 123
! Total magnetic moment, μB per formula unit: 1.0
! DFT total energy, eV per atom: -3.689
&SYSTEM
  ibrav = 0, nat = 5, ntyp = 4
/
ATOMIC_SPECIES
Cs 132.91 Cs.upf
S 32.06 S.upf
N 14.01 N.upf
Ti 47.87 Ti.upf
CELL_PARAMETERS angstrom
4.170 0.000 0.000
0.000 4.170 0.000
0.000 0.000 6.241
ATOMIC_POSITIONS angstrom
Cs 0.000 0.000 0.000
S 0.000 0.000 3.121
N 0.000 2.085 0.000
N 2.085 0.000 0.000
Ti 2.085 2.085 3.121

---

! KHo2NpO6 (PBE-GGA, optimized geometry); values from VASP
! ΔE_f (raw), eV/f.u.: -30.47
! Space-group type: No. 146
! Total magnetic moment, μB per formula unit: 2.0
! DFT total energy, eV per atom: -8.342
&SYSTEM
  ibrav = 0, nat = 10, ntyp = 4
/
ATOMIC_SPECIES
K 39.10 K.upf
Ho 164.93 Ho.upf
Np 237.00 Np.upf
O 16.00 O.upf
CELL_PARAMETERS angstrom
-3.498 -4.653 -1.098
1.987 -5.495 0.975
-2.316 -3.172 4.841
ATOMIC_POSITIONS angstrom
K -2.681 -10.011 3.029
Ho -1.767 -6.677 1.964
Ho -2.256 -3.179 4.678
Np -0.574 -3.374 0.148
O -2.085 -4.896 0.654
O 0.428 -6.978 1.676
O -2.553 -8.283 0.626
O -1.545 -7.885 4.014
O -3.865 -6.761 3.104
O -1.762 -5.167 3.816

---

! RbTc2BP (PBE-GGA, optimized geometry); values from VASP
! Space-group type: No. 123
! Total magnetic moment, μB per formula unit: 1.9
! DFT total energy, eV per atom: -5.439
! E_form, eV per formula unit: 6.59
&SYSTEM
  ibrav = 0, nat = 5, ntyp = 4
/
ATOMIC_SPECIES
P 30.97 P.upf
B 10.81 B.upf
Tc 98.00 Tc.upf
Rb 85.47 Rb.upf
CELL_PARAMETERS angstrom
-1.849 0.784 3.698
3.918 -2.505 2.490
2.126 3.620 0.296
ATOMIC_POSITIONS angstrom
P 2.097 0.949 3.242
B 0.000 0.000 0.000
Tc 1.063 1.810 0.148
Tc -0.925 0.392 1.849
Rb 1.959 -1.252 1.245

---

! Sr3YTi2O9 (PBE-GGA, optimized geometry); values from VASP
! ΔE_f (raw), eV/f.u.: -44.63
! Space-group type: No. 164
! Total magnetic moment, μB per formula unit: 0.7
! DFT total energy, eV per atom: -7.770
&SYSTEM
  ibrav = 0, nat = 15, ntyp = 4
/
ATOMIC_SPECIES
Sr 87.62 Sr.upf
Y 88.91 Y.upf
Ti 47.87 Ti.upf
O 16.00 O.upf
CELL_PARAMETERS angstrom
5.749 0.000 0.000
-2.875 4.979 0.000
0.000 0.000 7.286
ATOMIC_POSITIONS angstrom
Sr 0.000 3.319 5.187
Sr 0.000 0.000 0.000
Sr 2.875 1.660 2.098
Y 0.000 0.000 3.643
Ti 0.000 3.319 1.240
Ti 2.875 1.660 6.046
O 4.257 0.862 5.033
O 2.875 3.256 5.033
O 1.492 0.862 5.033
O 1.382 4.117 2.252
O 0.000 1.723 2.252
O -1.382 4.117 2.252
O 2.875 0.000 0.000
O -1.437 2.489 0.000
O 1.437 2.489 0.000

---

! Dy2HoAlS6 (PBE-GGA, optimized geometry); values from VASP
! ΔE_f (raw), eV/f.u.: -17.51
! Space-group type: No. 146
! Total magnetic moment, μB per formula unit: 0.0
! DFT total energy, eV per atom: -5.980
&SYSTEM
  ibrav = 0, nat = 10, ntyp = 4
/
ATOMIC_SPECIES
Dy 162.50 Dy.upf
Ho 164.93 Ho.upf
Al 26.98 Al.upf
S 32.06 S.upf
CELL_PARAMETERS angstrom
-1.944 -5.989 -2.336
-1.172 -5.051 4.269
-6.706 -2.006 1.070
ATOMIC_POSITIONS angstrom
Dy -4.522 -6.638 1.472
Dy -6.358 -2.109 1.044
Ho -6.237 -10.118 2.167
Al -1.256 -3.616 0.661
S -3.046 -5.050 -0.198
S -3.199 -6.599 3.868
S -4.214 -9.183 0.514
S -6.803 -7.581 2.756
S -6.635 -6.236 -0.292
S -5.889 -4.394 2.386

---

! Na3Y3ErTe8 (PBE-GGA, optimized geometry); values from VASP
! ΔE_f (raw), eV/f.u.: -18.90
! Space-group type: No. 166
! Total magnetic moment, μB per formula unit: 0.0
! DFT total energy, eV per atom: -4.796
&SYSTEM
  ibrav = 0, nat = 15, ntyp = 4
/
ATOMIC_SPECIES
Na 22.99 Na.upf
Y 88.91 Y.upf
Er 167.26 Er.upf
Te 127.60 Te.upf
CELL_PARAMETERS angstrom
-3.660 -1.270 7.802
8.673 0.505 -0.712
-4.916 7.706 -1.052
ATOMIC_POSITIONS angstrom
Na 0.000 0.000 0.000
Na 4.336 0.252 -0.356
Na 2.506 -0.382 3.545
Y -4.288 3.218 3.375
Y 0.048 3.471 3.019
Y 1.878 4.106 -0.882
Er -2.458 3.853 -0.526
Te 2.187 1.986 1.349
Te -2.090 4.955 4.689
Te 0.357 1.371 5.254
Te -0.261 5.570 0.784
Te -3.982 1.118 5.610
Te 4.079 5.823 0.428
Te -2.151 1.753 1.706
Te 2.248 5.188 4.331